Entry 1:
An optimized crystal structure of Sr3Zn4, computed with GGA-PBE.

Calculated values
Its electronic total energy is -23.1 eV per cell. As for the volume: 28.20 Å³/atom.

Lattice parameters (Å, degrees): 4.4805 6.2429 15.1058 90.01 90.00 110.87
Sites, in units of the cell vectors:
Sr1 0.7276 0.4552 0.1045
Sr2 0.2746 0.5494 0.8963
Sr3 0.7276 0.4553 0.3963
Sr4 0.2746 0.5493 0.6044
Sr5 0.0114 0.0229 0.2504
Sr6 0.9909 0.9819 0.7503
Zn1 0.3114 0.6230 0.2504
Zn2 0.6914 0.3824 0.7503
Zn3 0.4413 0.8824 0.0834
Zn4 0.0010 0.0019 0.0003
Zn5 0.4413 0.8825 0.4173
Zn6 0.5611 0.1222 0.9174
Zn7 0.0010 0.0019 0.5003
Zn8 0.5611 0.1221 0.5832


Entry 2:
An optimized crystal structure of SrZn, computed with GGA-PBE.

Calculated values
Its electronic total energy is -6.2 eV per cell. As for the volume: 31.66 Å³/atom.

Lattice parameters (Å, degrees): 3.8565 3.8565 8.5150 90.00 90.00 90.00
Sites, in units of the cell vectors:
Sr1 0.0000 0.0000 0.9241
Sr2 0.5000 0.5000 0.3259
Zn1 0.0000 0.0000 0.5490
Zn2 0.5000 0.5000 0.7010


Entry 3:
An optimized crystal structure of Sr3Zn, computed with GGA-PBE.

Calculated values
Its electronic total energy is -12.1 eV per cell. As for the volume: 40.60 Å³/atom.

Lattice parameters (Å, degrees): 7.7849 7.7849 6.1892 90.00 90.00 120.00
Sites, in units of the cell vectors:
Sr1 0.8270 0.6539 0.2500
Sr2 0.3461 0.1730 0.2500
Sr3 0.8270 0.1730 0.2500
Sr4 0.1730 0.3461 0.7500
Sr5 0.6539 0.8270 0.7500
Sr6 0.1730 0.8270 0.7500
Zn1 0.3333 0.6667 0.2500
Zn2 0.6667 0.3333 0.7500


Entry 4:
An optimized crystal structure of SrZn3, computed with GGA-PBE.

Calculated values
Its electronic total energy is -5.8 eV per cell. As for the volume: 23.54 Å³/atom.

Lattice parameters (Å, degrees): 4.1916 3.7096 6.2815 74.62 90.00 90.00
Sites, in units of the cell vectors:
Sr1 0.0000 0.0000 0.0000
Zn1 0.5000 0.6852 0.6766
Zn2 0.0000 0.5000 0.5000
Zn3 0.5000 0.3147 0.3234


Entry 5:
An optimized crystal structure of Sr3Zn, computed with GGA-PBE.

Calculated values
Its electronic total energy is -6.7 eV per cell. As for the volume: 41.76 Å³/atom.

Lattice parameters (Å, degrees): 4.0146 4.0146 10.3650 90.00 90.00 89.98
Sites, in units of the cell vectors:
Sr1 0.0000 0.0000 0.0681
Sr2 0.5000 0.5000 0.7500
Sr3 0.0000 0.0000 0.4319
Zn1 0.5000 0.5000 0.2500


Entry 6:
An optimized crystal structure of SrZn, computed with GGA-PBE.

Calculated values
Its electronic total energy is -19.8 eV per cell. As for the volume: 50.28 Å³/atom.

Lattice parameters (Å, degrees): 9.3005 9.3005 9.3005 90.00 90.00 90.00
Sites, in units of the cell vectors:
Sr1 0.2926 0.2926 0.2926
Sr2 0.2926 0.7074 0.7074
Sr3 0.7074 0.2926 0.7074
Sr4 0.7074 0.7074 0.2926
Sr5 0.7926 0.7926 0.7926
Sr6 0.7926 0.2074 0.2074
Sr7 0.2074 0.7926 0.2074
Sr8 0.2074 0.2074 0.7926
Zn1 0.1018 0.1018 0.1018
Zn2 0.1018 0.8982 0.8982
Zn3 0.8982 0.1018 0.8982
Zn4 0.8982 0.8982 0.1018
Zn5 0.6018 0.6018 0.6018
Zn6 0.6018 0.3982 0.3982
Zn7 0.3982 0.6018 0.3982
Zn8 0.3982 0.3982 0.6018


| no. | size of the total moment (μB per atom) |
| --- | --- |
| 1 | 0.000 |
| 2 | 0.000 |
| 3 | 0.000 |
| 4 | 0.000 |
| 5 | 0.000 |
| 6 | 0.000 |